Ti3AlSn, relaxed, DFT PBE; ΔH_f (0 K) = 0.413 eV/atom; energy relative to the lowest polymorph listed for this composition = 417.8 meV per atom; space group = No. 221; E = -5.873 eV/atom
1.0
4.6949 0.0000 0.0000
0.0000 4.6949 0.0000
0.0000 0.0000 4.6949
Ti Al Sn
3 1 1
Direct
0.0000 0.0000 0.5000
0.0000 0.5000 0.0000
0.5000 0.0000 0.0000
0.0000 0.0000 0.0000
0.5000 0.5000 0.5000